[1]
The following is a DFT calculation (PBE) of LaSm8Cd6 after structural relaxation.

Lattice parameters (Å, degrees): 8.376 8.376 8.376 66.57 66.57 66.57
Fractional positions:
1 La 0.000 0.000 0.000
2 Sm 0.120 0.788 0.444
3 Sm 0.212 0.556 0.880
4 Sm 0.332 0.332 0.332
5 Sm 0.444 0.120 0.788
6 Sm 0.556 0.880 0.212
7 Sm 0.668 0.668 0.668
8 Sm 0.788 0.444 0.120
9 Sm 0.880 0.212 0.556
10 Cd 0.051 0.391 0.711
11 Cd 0.289 0.949 0.609
12 Cd 0.391 0.711 0.051
13 Cd 0.609 0.289 0.949
14 Cd 0.711 0.051 0.391
15 Cd 0.949 0.609 0.289

## Properties
E_form: -0.082 eV/atom
symmetry: No. 148
M_tot: 0.10 μB/atom
raw total energy: -49.4 eV for the cell shown

=====

[2]
The following is a DFT calculation (PBE) of AcPm2Ge4 after structural relaxation.

Lattice parameters (Å, degrees): 4.149 4.552 18.709 90.00 90.00 90.00
Fractional positions:
1 Ac 0.000 0.000 0.000
2 Ac 0.500 0.500 0.500
3 Pm 0.000 0.500 0.319
4 Pm 0.000 0.500 0.681
5 Pm 0.500 0.000 0.181
6 Pm 0.500 0.000 0.819
7 Ge 0.000 0.000 0.430
8 Ge 0.000 0.000 0.570
9 Ge 0.000 0.500 0.158
10 Ge 0.000 0.500 0.842
11 Ge 0.500 0.000 0.342
12 Ge 0.500 0.000 0.658
13 Ge 0.500 0.500 0.070
14 Ge 0.500 0.500 0.930

## Properties
E_form: -0.761 eV/atom
symmetry: No. 71
M_tot: 0.00 μB/atom
raw total energy: -74.8 eV for the cell shown